# CrSnF3 (GGA+U, optimized geometry)
data_CrSnF3
_chemical_formula_sum 'Cr1 Sn1 F3'
_cell_length_a 4.630
_cell_length_b 4.630
_cell_length_c 4.630
_cell_angle_alpha 90.00
_cell_angle_beta 90.00
_cell_angle_gamma 90.00
_symmetry_space_group_name_H-M 'P m -3 m'
_symmetry_Int_Tables_number 221
_symmetry_space_group_name_Hall '-P 4 2 3'
loop_
_atom_site_label
_atom_site_fract_x
_atom_site_fract_y
_atom_site_fract_z
_atom_site_occupancy
Cr1 0.000 0.000 0.000 1
Sn1 0.500 0.500 0.500 1
F1 0.000 0.500 0.500 1
# Energy above the lowest structure with this stoichiometry, kJ per mole of atoms: 19.4
# Total magnetization, μB/atom: 1.0056